No. 1
# Nb2CuSnH PBE optimized geometry
data_Nb2CuSnH
_symmetry_space_group_name_H-M 'P 4/m m m'
_symmetry_Int_Tables_number 123
_symmetry_space_group_name_Hall '-P 4 2'
_cell_length_a 4.056
_cell_length_b 4.056
_cell_length_c 4.421
_cell_angle_alpha 90.00
_cell_angle_beta 90.00
_cell_angle_gamma 90.00
loop_
_atom_site_label
_atom_site_type_symbol
_atom_site_fract_x
_atom_site_fract_y
_atom_site_fract_z
Nb1 Nb 0.000 0.500 0.000
Cu1 Cu 0.000 0.000 0.500
Sn1 Sn 0.500 0.500 0.500
H1 H 0.000 0.000 0.000
# Magnetization, μB/cell: 0.0
# Calculated total energy, eV per cell: -31.9

=====

No. 2
# NbCuTc2H PBE optimized geometry
data_NbCuTc2H
_symmetry_space_group_name_H-M 'P 4/m m m'
_symmetry_Int_Tables_number 123
_symmetry_space_group_name_Hall '-P 4 2'
_cell_length_a 4.064
_cell_length_b 4.064
_cell_length_c 3.700
_cell_angle_alpha 90.00
_cell_angle_beta 90.00
_cell_angle_gamma 90.00
loop_
_atom_site_label
_atom_site_type_symbol
_atom_site_fract_x
_atom_site_fract_y
_atom_site_fract_z
Nb1 Nb 0.000 0.000 0.000
Cu1 Cu 0.500 0.500 0.000
Tc1 Tc 0.000 0.500 0.500
H1 H 0.500 0.500 0.500
# Magnetization, μB/cell: 0.0
# Polymorph energy (0 for the lowest one), eV per atom: 0.0000
# Calculated total energy, eV per cell: -38.2

=====

No. 3
# NbCuTc2H PBE optimized geometry
data_NbCuTc2H
_symmetry_space_group_name_H-M 'P 4/m m m'
_symmetry_Int_Tables_number 123
_symmetry_space_group_name_Hall '-P 4 2'
_cell_length_a 3.936
_cell_length_b 3.936
_cell_length_c 3.989
_cell_angle_alpha 90.00
_cell_angle_beta 90.00
_cell_angle_gamma 90.00
loop_
_atom_site_label
_atom_site_type_symbol
_atom_site_fract_x
_atom_site_fract_y
_atom_site_fract_z
Nb1 Nb 0.000 0.000 0.000
Cu1 Cu 0.500 0.500 0.000
Tc1 Tc 0.000 0.500 0.500
H1 H 0.000 0.000 0.500
# Magnetization, μB/cell: 0.0
# Polymorph energy (0 for the lowest one), eV per atom: 0.0209
# Calculated total energy, eV per cell: -38.1

=====

Asked for mass density across the records above, the calculation gives 8.4; 9.6; 9.5 g/cm3 in order.